Record 1
The following is a GGA-PBE calculation of HoHgC2O8 after structural relaxation, from the Alexandria database.

Unit cell a=5.1371 b=5.1371 c=6.7860 alpha=90.00 beta=90.00 gamma=120.00
Space group P-3m1 (No. 164)
Unique sites:
Ho 0.0000 0.0000 0.0000
Hg 0.0000 0.0000 0.5000
C 0.3333 0.6667 0.7169
O 0.1862 0.3724 0.7819
O 0.3333 0.6667 0.5137

Computed properties:
Volume, A^3/atom: 12.924
DOS at the Fermi energy, states/eV/f.u.: 8.67
Magnetization, μB per atom: 0.25
Formation energy (no corrections), kJ/mol of atoms: -105.2
Total DFT energy (no corrections), eV/atom: -6.340

Record 2
The following is a GGA-PBE calculation of HoPaHgC after structural relaxation, from the Alexandria database.

Unit cell a=3.5224 b=3.5224 c=23.8544 alpha=90.00 beta=90.00 gamma=120.00
Space group R3m (No. 160, hexagonal axes)
Unique sites:
Ho 0.0000 0.0000 0.0000
Pa 0.0000 0.0000 0.7821
Hg 0.0000 0.0000 0.2270
C 0.0000 0.0000 0.3940

Computed properties:
Volume, A^3/atom: 21.358
DOS at the Fermi energy, states/eV/f.u.: 2.02
Magnetization, μB per atom: 0.00
Energy of formation from the pure elements, eV/f.u.: -1.402
Total DFT energy (no corrections), eV/atom: -6.250

Record 3
The following is a GGA-PBE calculation of Ho4HgPbC after structural relaxation, from the Alexandria database.

Unit cell a=6.908 b=15.163 c=6.889 alpha=90.00 beta=90.00 gamma=90.00
Space group Cmcm (No. 63)
Unique sites:
Ho 0.000 0.083 0.250
Ho 0.000 0.409 0.250
Ho 0.250 0.250 0.000
Hg 0.000 0.117 0.750
Pb 0.000 0.386 0.750
C 0.000 0.249 0.250

Computed properties:
Volume, A^3/atom: 25.772
DOS at the Fermi energy, states/eV/f.u.: 2.88
Magnetization, μB per atom: 0.00
Energy of formation from the pure elements, eV/f.u.: -3.054
Total DFT energy (no corrections), eV/atom: -4.943

Record 4
The following is a GGA-PBE calculation of Pm3HoHg2C after structural relaxation, from the Alexandria database.

Unit cell a=4.899 b=5.110 c=15.173 alpha=90.00 beta=90.00 gamma=90.00
Space group Immm (No. 71)
Unique sites:
Pm 0.000 0.000 0.000
Pm 0.000 0.500 0.167
Ho 0.000 0.000 0.500
Hg 0.000 0.500 0.371
C 0.000 0.500 0.000

Computed properties:
Volume, A^3/atom: 27.131
DOS at the Fermi energy, states/eV/f.u.: 6.63
Magnetization, μB per atom: 0.00
Energy of formation from the pure elements, eV/f.u.: -2.285
Total DFT energy (no corrections), eV/atom: -4.420

Record 5
The following is a GGA-PBE calculation of Pm2HoHgC after structural relaxation, from the Alexandria database.

Unit cell a=5.101 b=5.101 c=4.816 alpha=90.00 beta=90.00 gamma=90.00
Space group P4/mmm (No. 123)
Unique sites:
Pm 0.000 0.500 0.000
Ho 0.000 0.000 0.500
Hg 0.500 0.500 0.500
C 0.000 0.000 0.000

Computed properties:
Volume, A^3/atom: 25.065
DOS at the Fermi energy, states/eV/f.u.: 5.41
Magnetization, μB per atom: 0.00
Energy of formation from the pure elements, eV/f.u.: -1.439
Total DFT energy (no corrections), eV/atom: -5.009

Record 6
The following is a GGA-PBE calculation of PmHoHgC after structural relaxation, from the Alexandria database.

Unit cell a=3.6219 b=3.6219 c=24.1259 alpha=90.00 beta=90.00 gamma=120.00
Space group R3m (No. 160, hexagonal axes)
Unique sites:
Pm 0.0000 0.0000 0.0000
Ho 0.0000 0.0000 0.7812
Hg 0.0000 0.0000 0.2211
C 0.0000 0.0000 0.3936

Computed properties:
Volume, A^3/atom: 22.834
DOS at the Fermi energy, states/eV/f.u.: 3.56
Magnetization, μB per atom: 0.00
Energy of formation from the pure elements, eV/f.u.: -1.326
Total DFT energy (no corrections), eV/atom: -5.045

Record 7
The following is a GGA-PBE calculation of Ho6HgC3S2 after structural relaxation, from the Alexandria database.

Unit cell a=16.883 b=3.697 c=7.907 alpha=90.00 beta=108.35 gamma=90.00
Space group C2/m (No. 12)
Unique sites:
Ho 0.013 0.000 0.208
Ho 0.162 0.500 0.104
Ho 0.181 0.500 0.560
Hg 0.000 0.500 0.500
C 0.000 0.500 0.000
C 0.169 0.000 0.329
S 0.162 0.000 0.825

Computed properties:
Volume, A^3/atom: 19.518
DOS at the Fermi energy, states/eV/f.u.: 4.62
Magnetization, μB per atom: 0.00
Formation energy (no corrections), kJ/mol of atoms: -89.1
Total DFT energy (no corrections), eV/atom: -6.231

Record 8
The following is a GGA-PBE calculation of Ho6Hg3C2S after structural relaxation, from the Alexandria database.

Unit cell a=6.401 b=11.061 c=7.918 alpha=90.00 beta=105.41 gamma=90.00
Space group C2/m (No. 12)
Unique sites:
Ho 0.201 0.000 0.182
Ho 0.241 0.320 0.188
Hg 0.000 0.000 0.500
Hg 0.000 0.348 0.500
C 0.000 0.168 0.000
S 0.000 0.500 0.000

Computed properties:
Volume, A^3/atom: 22.519
DOS at the Fermi energy, states/eV/f.u.: 8.46
Magnetization, μB per atom: 0.00
Formation energy (no corrections), kJ/mol of atoms: -66.9
Total DFT energy (no corrections), eV/atom: -4.939